# LaNd2Ho4Er

Crystalline LaNd2Ho4Er at its relaxed geometry (PBE-GGA, Alexandria via LeMat-Bulk).

Cell lengths 7.1764, 12.3938, 12.3714 Å; angles 146.31, 106.67, 90.10 degrees
Closest atoms and distances in Å follow each position.
Element x y z (fractional)
La (0.5001, 0.5001, 0.5001)  2 Nd 3.59, 2 Er 3.59, 6 Ho 3.59-3.60, 2 La 3.60
La (0.9999, 0.9999, 0.9999)  2 Nd 3.59, 2 Er 3.59, 6 Ho 3.59, 2 La 3.60
Nd (0.5000, 0.9999, 0.9999)  6 Ho 3.59-3.60, 4 La 3.59, 2 Er 3.60
Nd (0.5000, 0.0000, 0.4999)  6 Ho 3.57, 4 Nd 3.59, 2 Er 3.60
Nd (0.0000, 0.0001, 0.5001)  6 Ho 3.56-3.57, 2 Er 3.59, 4 Nd 3.59-3.60
Nd (0.4998, 0.4999, 0.9999)  6 Ho 3.56-3.57, 2 Er 3.59, 4 Nd 3.59-3.60
Ho (0.2500, 0.7491, 0.0000)  2 Er 3.57-3.58, 3 Nd 3.57-3.59, 6 Ho 3.58-3.60, 1 La 3.59
Ho (0.7510, 0.2501, 0.5010)  2 Er 3.57-3.58, 3 Nd 3.57-3.59, 6 Ho 3.58-3.60, 1 La 3.59
Ho (0.2491, 0.7500, 0.4990)  2 Er 3.57-3.58, 3 Nd 3.57-3.59, 6 Ho 3.58-3.60, 1 La 3.59
Ho (0.7499, 0.2508, 0.9999)  2 Er 3.57-3.58, 3 Nd 3.57-3.59, 6 Ho 3.58-3.60, 1 La 3.59
Ho (0.7510, 0.7492, 0.0012)  3 Nd 3.56-3.60, 1 Er 3.56, 6 Ho 3.59-3.60, 2 La 3.59-3.60
Ho (0.7497, 0.7502, 0.4988)  3 Nd 3.56-3.57, 6 Ho 3.58-3.60, 2 La 3.59, 1 Er 3.59
Ho (0.2503, 0.2498, 0.5012)  3 Nd 3.56-3.57, 6 Ho 3.58-3.60, 2 La 3.59, 1 Er 3.60
Ho (0.2490, 0.2507, 0.9989)  3 Nd 3.56-3.60, 1 Er 3.56, 6 Ho 3.59-3.60, 2 La 3.59-3.60
Er (0.0001, 0.5001, 0.0000)  6 Ho 3.56-3.57, 6 Nd 3.59-3.60
Er (0.0000, 0.5000, 0.5000)  6 Ho 3.58-3.60, 4 La 3.59, 2 Nd 3.60

## Properties
The calculation puts the formation energy at 0.02 eV per atom. The density of states at the Fermi level is 20.9 states/eV/cell. The calculation puts the total magnetization at 0.000 μB per formula unit. As for the total DFT energy (no corrections): -74.4 eV/cell.